Entry 1:
Here is a relaxed structure of Ho3Ga9Tc2 from the Alexandria database. Energies are from PBE.

Properties
**ρ**: 8.659 g cm⁻³
**Fermi-level density of states**: 0.593 states/eV per atom
**Formation enthalpy at 0 K**: -0.49 eV per atom

Cell: 8.1644 8.1644 8.1644 Å, 149.88 109.45 78.58°
Fractional positions:
Ho: 0.0000 0.0000 0.0000
Ho: 0.3010 0.3010 0.0000
Ho: 0.6990 0.6990 0.0000
Ga: 0.0171 0.6526 0.3646
Ga: 0.1512 0.8673 0.2839
Ga: 0.2880 0.6526 0.6354
Ga: 0.4165 0.1327 0.2839
Ga: 0.5000 0.0000 0.5000
Ga: 0.5835 0.8673 0.7161
Ga: 0.7120 0.3474 0.3646
Ga: 0.8488 0.1327 0.7161
Ga: 0.9829 0.3474 0.6354
Tc: 0.3252 0.5000 0.8252
Tc: 0.6748 0.5000 0.1748

Entry 2:
Here is a relaxed structure of Sr2CaPr from the Alexandria database. Energies are from PBE.

Properties
**ρ**: 3.301 g cm⁻³
**Offset from the most stable computed form**: 35 meV/atom
**Fermi-level density of states**: 1.389 states/eV per atom
**Formation enthalpy at 0 K**: 0.13 eV per atom

Cell: 6.3285 6.3285 6.3285 Å, 60.00 60.00 60.00°
Fractional positions:
Sr: 0.2500 0.2500 0.2500
Sr: 0.7500 0.7500 0.7500
Ca: 0.0000 0.0000 0.0000
Pr: 0.5000 0.5000 0.5000